This record from the Alexandria database describes Sb2PtAu2 after structural relaxation. The functional is PBE-GGA.

## Properties
Its density is 12428 kg/m³. As for the energy relative to the elements, uncorrected: 74 meV per atom. The relative energy among the computed polymorphs comes out at 0 meV per atom. Its crystal system is tetragonal. For the density of states at the Fermi level, the calculation gives 5.28 states/eV/cell. As for the space group: P4/mbm, No. 127.

abc: 7.334 7.334 4.136
angles: 90.00 90.00 90.00
Positions (direct):
Sb  0.175  0.325  0.000
Sb  0.325  0.825  0.000
Sb  0.675  0.175  0.000
Sb  0.825  0.675  0.000
Pt  0.000  0.000  0.000
Pt  0.500  0.500  0.000
Au  0.137  0.637  0.500
Au  0.363  0.137  0.500
Au  0.637  0.863  0.500
Au  0.863  0.363  0.500

This record from the Alexandria database describes La2PrCoPb after structural relaxation. The functional is PBE-GGA.

## Properties
Its density is 7538 kg/m³. Its calculated formation energy is -0.35 eV/atom. Its crystal system is tetragonal. For the density of states at the Fermi level, the calculation gives 3.13 states/eV/cell. As for the space group: P4/mmm, No. 123.

abc: 5.221 5.221 5.535
angles: 90.00 90.00 90.00
Positions (direct):
La  0.000  0.500  0.000
La  0.500  0.000  0.000
Pr  0.000  0.000  0.500
Co  0.000  0.000  0.000
Pb  0.500  0.500  0.500

This record from the Alexandria database describes La2Sm5Th4 after structural relaxation. The functional is PBE-GGA.

## Properties
Its density is 8611 kg/m³. Its calculated formation energy is 0.13 eV/atom. Its crystal system is monoclinic. For the density of states at the Fermi level, the calculation gives 17.82 states/eV/cell. As for the space group: C2/m, No. 12.

abc: 12.408 12.408 8.715
angles: 94.73 94.73 16.40
Positions (direct):
La  0.227  0.227  0.321
La  0.773  0.773  0.679
Sm  0.000  0.000  0.500
Sm  0.318  0.318  0.033
Sm  0.371  0.371  0.457
Sm  0.629  0.629  0.543
Sm  0.682  0.682  0.967
Th  0.084  0.084  0.185
Th  0.457  0.457  0.147
Th  0.543  0.543  0.853
Th  0.916  0.916  0.815

This record from the Alexandria database describes NaPmTcO6 after structural relaxation. The functional is PBE-GGA.

## Properties
Its density is 4602 kg/m³. As for the energy relative to the elements, uncorrected: -1765 meV per atom. Its crystal system is triclinic. As for the space group: P1, No. 1.

abc: 4.876 5.545 5.570
angles: 60.19 89.22 88.33
Positions (direct):
Na  0.000  0.000  0.000
Pm  0.499  0.675  0.651
Tc  0.998  0.323  0.355
O  0.192  0.601  0.011
O  0.219  0.046  0.343
O  0.237  0.355  0.584
O  0.760  0.063  0.585
O  0.778  0.613  0.341
O  0.809  0.390  0.010

This record from the Alexandria database describes V2Os2Ru after structural relaxation. The functional is PBE-GGA.

## Properties
Its density is 13953 kg/m³. Its calculated formation energy is -0.13 eV/atom. The relative energy among the computed polymorphs comes out at 0 meV per atom. Its crystal system is monoclinic. For the density of states at the Fermi level, the calculation gives 4.43 states/eV/cell. As for the space group: C2/m, No. 12.

abc: 4.280 4.280 5.037
angles: 115.27 115.27 59.85
Positions (direct):
V  0.093  0.093  0.280
V  0.907  0.907  0.720
Os  0.286  0.286  0.858
Os  0.714  0.714  0.142
Ru  0.500  0.500  0.500

This record from the Alexandria database describes Dy8Ho3Tm4 after structural relaxation. The functional is PBE-GGA.

## Properties
Its density is 8472 kg/m³. Its calculated formation energy is 0.41 eV/atom. Its crystal system is monoclinic. For the density of states at the Fermi level, the calculation gives 28.09 states/eV/cell. As for the space group: C2/m, No. 12.

abc: 9.156 9.156 6.665
angles: 111.04 111.04 87.65
Positions (direct):
Dy  0.143  0.857  0.000
Dy  0.230  0.230  0.442
Dy  0.239  0.239  0.973
Dy  0.250  0.750  0.500
Dy  0.750  0.250  0.500
Dy  0.761  0.761  0.027
Dy  0.770  0.770  0.558
Dy  0.857  0.143  0.000
Ho  0.000  0.000  0.500
Ho  0.000  0.500  0.500
Ho  0.500  0.000  0.500
Tm  0.000  0.500  0.000
Tm  0.500  0.000  0.000
Tm  0.500  0.500  0.000
Tm  0.500  0.500  0.500

Repeat the fifth record exactly.
This record from the Alexandria database describes V2Os2Ru after structural relaxation. The functional is PBE-GGA.

## Properties
Its density is 13953 kg/m³. Its calculated formation energy is -0.13 eV/atom. The relative energy among the computed polymorphs comes out at 0 meV per atom. Its crystal system is monoclinic. For the density of states at the Fermi level, the calculation gives 4.43 states/eV/cell. As for the space group: C2/m, No. 12.

abc: 4.280 4.280 5.037
angles: 115.27 115.27 59.85
Positions (direct):
V  0.093  0.093  0.280
V  0.907  0.907  0.720
Os  0.286  0.286  0.858
Os  0.714  0.714  0.142
Ru  0.500  0.500  0.500